(1)
This record from Alexandria via LeMat-Bulk describes a relaxed structure of CaAc3LaNd. The functional is PBE.

Cell: 3.885 10.336 12.621 Å, 90.00 90.00 100.83°
Sites, in units of the cell vectors:
Ac: 0.338 0.676 0.502
Ac: 0.662 0.324 0.498
Ac: 0.662 0.324 0.002
Ac: 0.338 0.676 0.998
Ac: 0.105 0.209 0.750
Ac: 0.895 0.791 0.250
Nd: 0.000 0.000 0.500
Nd: 0.000 0.000 0.000
La: 0.445 0.890 0.750
La: 0.555 0.110 0.250
Ca: 0.224 0.448 0.250
Ca: 0.776 0.552 0.750

Results
The volume comes out at 41.474 Å³/atom. The total DFT energy (no corrections) is -23.86 eV per formula unit. The space-group type is Cmcm (63). The calculation puts the formation energy at 0.03 eV/atom.

***

(2)
This record from Alexandria via LeMat-Bulk describes a relaxed structure of PrSm6Sc4. The functional is PBE.

Cell: 5.314 8.795 8.795 Å, 120.00 90.00 90.00°
Sites, in units of the cell vectors:
Pr: 0.000 0.000 0.000
Sm: 0.000 0.936 0.468
Sm: 0.500 0.196 0.804
Sm: 0.000 0.532 0.064
Sm: 0.500 0.196 0.393
Sm: 0.000 0.532 0.468
Sm: 0.500 0.607 0.804
Sc: 0.500 0.430 0.215
Sc: 0.000 0.333 0.667
Sc: 0.500 0.785 0.570
Sc: 0.500 0.785 0.215

Results
The volume comes out at 32.366 Å³/atom. The total DFT energy (no corrections) is -55.07 eV per formula unit. The space-group type is P-6m2 (187). The calculation puts the formation energy at 0.30 eV/atom.

***

(3)
This record from Alexandria via LeMat-Bulk describes a relaxed structure of LaCeZrSc. The functional is PBE.

Cell: 5.403 5.403 5.403 Å, 60.00 60.00 60.00°
Site moments in Bohr magnetons follow the coordinates.
Sites, in units of the cell vectors:
La: 0.750 0.750 0.750  -0.01
Sc: 0.000 0.000 0.000  -0.01
Ce: 0.250 0.250 0.250  0.37
Zr: 0.500 0.500 0.500  0.04

Results
The volume comes out at 27.885 Å³/atom. The total DFT energy (no corrections) is -24.97 eV per formula unit. The space-group type is F-43m (216). The calculation puts the formation energy at 0.19 eV/atom.

***

(4)
This record from Alexandria via LeMat-Bulk describes a relaxed structure of RbTb2Sn3Se6. The functional is PBE.

Cell: 4.126 9.425 9.576 Å, 98.68 102.44 90.00°
Sites, in units of the cell vectors:
Rb: 0.500 0.000 0.000
Se: 0.312 0.867 0.623
Se: 0.022 0.285 0.044
Se: 0.978 0.715 0.956
Se: 0.688 0.133 0.377
Se: 0.333 0.437 0.665
Se: 0.667 0.563 0.335
Sn: 0.500 0.500 0.000
Sn: 0.164 0.825 0.328
Sn: 0.836 0.175 0.672
Tb: 0.172 0.342 0.343
Tb: 0.828 0.658 0.657

Results
The volume comes out at 29.939 Å³/atom. The total DFT energy (no corrections) is -55.31 eV per formula unit. The space-group type is C2/m (12).

***

(5)
This record from Alexandria via LeMat-Bulk describes a relaxed structure of CaAcScIn. The functional is PBE.

Cell: 5.584 5.584 5.584 Å, 60.00 60.00 60.00°
Site moments in Bohr magnetons follow the coordinates.
Sites, in units of the cell vectors:
Ca: 0.750 0.750 0.750  0.10
Ac: 0.000 0.000 0.000  0.32
In: 0.500 0.500 0.500  -0.02
Sc: 0.250 0.250 0.250  0.56

Results
The volume comes out at 30.781 Å³/atom. The total DFT energy (no corrections) is -15.12 eV per formula unit. The space-group type is F-43m (216). The calculation puts the formation energy at 0.02 eV/atom.

***

(6)
This record from Alexandria via LeMat-Bulk describes a relaxed structure of PrSmTm6. The functional is PBE.

Cell: 4.998 4.998 9.993 Å, 90.00 90.00 90.00°
Sites, in units of the cell vectors:
Tm: 0.000 0.500 0.752
Tm: 0.000 0.500 0.248
Tm: 0.500 0.500 0.000
Tm: 0.500 0.000 0.752
Tm: 0.500 0.500 0.500
Tm: 0.500 0.000 0.248
Pr: 0.000 0.000 0.500
Sm: 0.000 0.000 0.000

Results
The volume comes out at 31.201 Å³/atom. The total DFT energy (no corrections) is -36.10 eV per formula unit. The space-group type is P4/mmm (123). The calculation puts the formation energy at 0.03 eV/atom. The excess energy over the best structure of this formula in the dataset is 0.00 kcal/mol of atoms.

***

(7)
This record from Alexandria via LeMat-Bulk describes a relaxed structure of DyHfFeCo. The functional is PBE.

Cell: 4.564 4.564 4.564 Å, 60.00 60.00 60.00°
Site moments in Bohr magnetons follow the coordinates.
Sites, in units of the cell vectors:
Hf: 0.250 0.250 0.250  -0.15
Fe: 0.500 0.500 0.500  0.36
Co: 0.000 0.000 0.000  0.56
Dy: 0.750 0.750 0.750  -0.15

Results
The volume comes out at 16.809 Å³/atom. The total DFT energy (no corrections) is -30.60 eV per formula unit. The space-group type is F-43m (216). The calculation puts the formation energy at -0.12 eV/atom.

***

(8)
This record from Alexandria via LeMat-Bulk describes a relaxed structure of HfMg2Pt. The functional is PBE.

Cell: 4.666 4.666 4.666 Å, 60.00 60.00 60.00°
Sites, in units of the cell vectors:
Pt: 0.500 0.500 0.500
Mg: 0.750 0.750 0.750
Mg: 0.250 0.250 0.250
Hf: 0.000 0.000 0.000

Results
The volume comes out at 17.961 Å³/atom. The total DFT energy (no corrections) is -20.00 eV per formula unit. The space-group type is Fm-3m (225). The calculation puts the formation energy at -0.20 eV/atom.

***

(9)
This record from Alexandria via LeMat-Bulk describes a relaxed structure of ZnCr2In. The functional is PBE.

Cell: 5.028 5.028 2.675 Å, 83.89 83.89 117.04°
Site moments in Bohr magnetons follow the coordinates.
Sites, in units of the cell vectors:
Zn: 0.000 0.500 0.500  -0.02
In: 0.500 0.000 0.500  -0.03
Cr: 0.500 0.500 0.000  0.58
Cr: 0.000 0.000 0.000  0.58

Results
The volume comes out at 14.745 Å³/atom. The total DFT energy (no corrections) is -21.19 eV per formula unit. The space-group type is C2/m (12). The calculation puts the formation energy at 0.52 eV/atom.

***

(10)
This record from Alexandria via LeMat-Bulk describes a relaxed structure of TaCu2As. The functional is PBE.

Cell: 4.950 4.950 4.855 Å, 68.88 68.88 32.97°
Sites, in units of the cell vectors:
Cu: 0.993 0.993 0.930
Cu: 0.741 0.741 0.819
Ta: 0.506 0.506 0.428
As: 0.260 0.260 0.324

Results
The volume comes out at 14.999 Å³/atom. The total DFT energy (no corrections) is -24.34 eV per formula unit. The space-group type is Cm (8). The calculation puts the formation energy at 0.09 eV/atom.

***

(11)
This record from Alexandria via LeMat-Bulk describes a relaxed structure of AlIn2Mo. The functional is PBE.

Cell: 3.902 4.156 4.643 Å, 90.00 90.00 90.00°
Site moments in Bohr magnetons follow the coordinates.
Sites, in units of the cell vectors:
Mo: 0.500 0.000 0.500  0.48
Al: 0.000 0.500 0.500  -0.01
In: 0.000 0.000 0.000  -0.01
In: 0.500 0.500 0.000  0.00

Results
The volume comes out at 18.821 Å³/atom. The total DFT energy (no corrections) is -18.65 eV per formula unit. The space-group type is Pmmm (47). The calculation puts the formation energy at 0.35 eV/atom.

***

(12)
This record from Alexandria via LeMat-Bulk describes a relaxed structure of Na5In2Pb5. The functional is PBE.

Cell: 5.288 5.961 13.809 Å, 66.28 78.96 63.67°
Sites, in units of the cell vectors:
Pb: 0.000 0.000 0.000
Pb: 0.700 0.173 0.427
Pb: 0.115 0.527 0.243
Pb: 0.300 0.827 0.573
Pb: 0.885 0.473 0.757
Na: 0.335 0.294 0.036
Na: 0.582 0.157 0.680
Na: 0.665 0.706 0.964
Na: 0.000 0.500 0.500
Na: 0.418 0.843 0.320
In: 0.203 0.790 0.804
In: 0.797 0.210 0.196

Results
The volume comes out at 29.759 Å³/atom. The total DFT energy (no corrections) is -31.81 eV per formula unit. The space-group type is C2/m (12). The calculation puts the formation energy at -0.10 eV/atom. The excess energy over the best structure of this formula in the dataset is 0.26 kcal/mol of atoms.

***

What did the fourth record say?
This record from Alexandria via LeMat-Bulk describes a relaxed structure of RbTb2Sn3Se6. The functional is PBE.

Cell: 4.126 9.425 9.576 Å, 98.68 102.44 90.00°
Sites, in units of the cell vectors:
Rb: 0.500 0.000 0.000
Se: 0.312 0.867 0.623
Se: 0.022 0.285 0.044
Se: 0.978 0.715 0.956
Se: 0.688 0.133 0.377
Se: 0.333 0.437 0.665
Se: 0.667 0.563 0.335
Sn: 0.500 0.500 0.000
Sn: 0.164 0.825 0.328
Sn: 0.836 0.175 0.672
Tb: 0.172 0.342 0.343
Tb: 0.828 0.658 0.657

Results
The volume comes out at 29.939 Å³/atom. The total DFT energy (no corrections) is -55.31 eV per formula unit. The space-group type is C2/m (12).